Compound: LiMnP4H4O14
Source: Alexandria via LeMat-Bulk
Functional: GGA+U
Structure: relaxed

DFT total energy	-158.322	eV for the cell shown
calculated volume	11.51	A^3/atom
density of states at the Fermi level	0.000	states/eV per atom

Lattice parameters (Å, degrees): 5.232 7.126 8.061 91.89 100.15 110.17
Last column: magnetic moment on the atom in μB.
Positions (direct):
Li (0.000, 0.000, 0.000)  0.00
Mn (0.500, 0.500, 0.000)  3.85
P (0.448, 0.777, 0.304)  0.00
P (0.552, 0.223, 0.696)  0.00
P (0.981, 0.372, 0.225)  0.01
P (0.019, 0.628, 0.775)  0.01
H (0.101, 0.209, 0.438)  0.00
H (0.899, 0.791, 0.562)  0.00
H (0.330, 0.028, 0.372)  0.00
H (0.670, 0.972, 0.628)  0.00
O (0.559, 0.742, 0.147)  -0.02
O (0.441, 0.258, 0.853)  -0.02
O (0.653, 0.836, 0.470)  0.00
O (0.347, 0.164, 0.530)  0.00
O (0.096, 0.305, 0.082)  0.02
O (0.904, 0.695, 0.918)  0.02
O (0.291, 0.592, 0.823)  -0.02
O (0.709, 0.408, 0.177)  -0.02
O (0.212, 0.572, 0.329)  0.00
O (0.788, 0.428, 0.671)  0.00
O (0.930, 0.221, 0.361)  -0.01
O (0.070, 0.779, 0.639)  -0.01
O (0.302, 0.934, 0.265)  0.00
O (0.698, 0.066, 0.735)  0.00